[1]
CoP2Rh | PBE-GGA | optimized geometry

Calculated values
Energy above the lowest structure with this stoichiometry = 71.5 kJ/mol of atoms
Mass density = 7.121 g/cm3
Magnetization = 1.71 Bohr magnetons per cell

```
4
Lattice="0.000 2.966 2.966 2.966 0.000 2.966 2.966 2.966 0.000" Properties=species:S:1:pos:R:3 pbc="T T T"
Co 0.000 0.000 0.000
P 1.483 1.483 1.483
P 2.966 2.966 2.966
Rh 4.449 4.449 4.449
```

***

[2]
OsRh2Cl | PBE-GGA | optimized geometry

Calculated values
Energy above the lowest structure with this stoichiometry = 63.6 kJ/mol of atoms
Mass density = 11.843 g/cm3
Magnetization = 0.00 Bohr magnetons per cell

```
4
Lattice="0.000 3.116 3.116 3.116 0.000 3.116 3.116 3.116 0.000" Properties=species:S:1:pos:R:3 pbc="T T T"
Os 0.000 0.000 0.000
Rh 1.558 1.558 1.558
Rh 4.674 4.674 4.674
Cl 3.116 3.116 3.116
```

***

[3]
Mg2InAs | PBE-GGA | optimized geometry

Calculated values
Energy above the lowest structure with this stoichiometry = 16.7 kJ/mol of atoms
Mass density = 4.442 g/cm3
Magnetization = 0.00 Bohr magnetons per cell

```
4
Lattice="3.898 0.000 0.000 0.000 3.898 0.000 0.000 0.000 5.863" Properties=species:S:1:pos:R:3 pbc="T T T"
Mg 0.000 0.000 0.000
Mg 1.949 1.949 1.740
In 1.949 1.949 4.550
As 0.000 0.000 2.776
```

***

[4]
ZrAlAg4 | PBE-GGA | optimized geometry

Calculated values
Mass density = 7.992 g/cm3
Magnetization = 0.37 Bohr magnetons per cell

```
6
Lattice="0.000 3.851 3.851 3.851 0.000 3.851 3.851 3.851 0.000" Properties=species:S:1:pos:R:3 pbc="T T T"
Zr 0.000 0.000 0.000
Al 1.925 1.925 1.925
Ag 4.814 2.887 2.887
Ag 2.887 4.814 2.887
Ag 2.887 2.887 4.814
Ag 4.814 4.814 4.814
```

***

[5]
CaLaNiAg | PBE-GGA | optimized geometry

Calculated values
Mass density = 5.935 g/cm3
Magnetization = 0.00 Bohr magnetons per cell

```
4
Lattice="0.000 3.643 3.643 3.643 0.000 3.643 3.643 3.643 0.000" Properties=species:S:1:pos:R:3 pbc="T T T"
Ca 0.000 0.000 0.000
La 3.643 3.643 3.643
Ni 1.821 1.821 1.821
Ag 5.464 5.464 5.464
```

***

[6]
Zn2FeRe | PBE-GGA | optimized geometry

Calculated values
Energy above the lowest structure with this stoichiometry = 48.4 kJ/mol of atoms
Mass density = 11.696 g/cm3
Magnetization = 0.00 Bohr magnetons per cell

```
4
Lattice="0.000 2.980 2.980 2.980 0.000 2.980 2.980 2.980 0.000" Properties=species:S:1:pos:R:3 pbc="T T T"
Zn 1.490 1.490 1.490
Zn 4.470 4.470 4.470
Fe 0.000 0.000 0.000
Re 2.980 2.980 2.980
```

***

[7]
KMnAlGa2 | PBE-GGA | optimized geometry

Calculated values
Mass density = 3.958 g/cm3
Magnetization = 0.73 Bohr magnetons per cell

```
5
Lattice="4.796 0.000 0.000 0.000 4.796 0.000 0.000 0.000 4.752" Properties=species:S:1:pos:R:3 pbc="T T T"
K 0.000 0.000 0.000
Mn 2.398 2.398 2.376
Al 2.398 2.398 0.000
Ga 0.000 2.398 2.376
Ga 2.398 0.000 2.376
```

***

[8]
Cu2HPdRu | PBE-GGA | optimized geometry

Calculated values
Mass density = 9.834 g/cm3
Magnetization = 0.66 Bohr magnetons per cell

```
5
Lattice="3.977 0.000 0.000 0.000 3.977 0.000 0.000 0.000 3.584" Properties=species:S:1:pos:R:3 pbc="T T T"
Cu 0.000 1.988 0.000
Cu 1.988 0.000 0.000
H 0.000 0.000 0.000
Pd 1.988 1.988 1.792
Ru 0.000 0.000 1.792
```

***

Which DFT total energy belongs to each record? In order, -23.98 -24.01 -10.99 -22.90 -16.31 -21.27 -20.13 -25.08 eV per cell.